[1]
Density functional theory data (SCAN) for a PBEsol-optimized structure of Cd2Cl.

The calculation puts the density of states at the Fermi level at 0.23 states/eV per atom. As for the total magnetic moment: 0.00 μB per cell. For the energy, the calculation gives -23.292 eV/atom.

Cell lengths 4.7447, 4.8316, 6.1584 Å; angles 113.10, 90.00, 90.00 degrees
Atoms (fractional coordinates):
1 Cl 0.7500 0.7500 0.0000
2 Cd 0.2500 0.5775 0.6537
3 Cd 0.2500 0.9238 0.3463
4 Cd 0.7500 0.4225 0.3463
5 Cl 0.2500 0.2500 0.0000
6 Cd 0.7500 0.0762 0.6537

---

[2]
Density functional theory data (SCAN) for a PBEsol-optimized structure of SrTi2RePt.

The calculation puts the density of states at the Fermi level at 1.08 states/eV per atom. As for the total magnetic moment: 0.00 μB per cell. The calculation puts the formation energy at 12.19 eV/f.u.

Cell lengths 4.4772, 4.4772, 4.6313 Å; angles 90.00, 90.00, 90.00 degrees
Atoms (fractional coordinates):
1 Sr 0.0000 0.0000 0.0000
2 Ti 0.5000 0.0000 0.0000
3 Ti 0.0000 0.5000 0.0000
4 Pt 0.5000 0.5000 0.5000
5 Re 0.0000 0.0000 0.5000

---

[3]
Density functional theory data (SCAN) for a PBEsol-optimized structure of NiRuAu2.

The calculation puts the density of states at the Fermi level at 0.77 states/eV per atom. As for the total magnetic moment: 2.70 μB per cell. The calculation puts the formation energy at 1.33 eV/f.u.

Cell lengths 3.8948, 3.8948, 4.7249 Å; angles 114.34, 114.34, 90.00 degrees
Atoms (fractional coordinates):
1 Au 0.2500 0.7500 0.5000
2 Au 0.7500 0.2500 0.5000
3 Ru 0.5000 0.5000 0.0000
4 Ni 0.0000 0.0000 0.0000